Record 1
A relaxed LaIn2Ni crystal. Source: the Alexandria database, functional PBE.

```
LaIn2Ni
1.0
-1.6586 2.6202 5.3600
1.6586 -2.6202 5.3600
1.6586 2.6202 -5.3600
La In Ni
1 2 1
direct
0.0000 0.0000 0.0000
0.2945 0.7945 0.5000
0.7055 0.2055 0.5000
0.5000 0.5000 0.0000
```

Results
Energy relative to the elements in meV/atom: -222
Total magnetic moment in μB per atom: 0.000
Crystal system: orthorhombic
Total energy in eV per atom: -4.2684
Symmetry: Immm (71)


Record 2
A relaxed La2InNi2 crystal. Source: the Alexandria database, functional PBE.

```
La2InNi2
1.0
-2.7855 2.7855 3.8949
2.7855 -2.7855 3.8949
2.7855 2.7855 -3.8949
La In Ni
2 1 2
direct
0.2500 0.7500 0.5000
0.7500 0.2500 0.5000
0.0000 0.0000 0.0000
0.3499 0.3499 0.0000
0.6501 0.6501 0.0000
```

Results
Energy relative to the elements in meV/atom: -297
Total magnetic moment in μB per atom: 0.000
Crystal system: tetragonal
Total energy in eV per atom: -5.1286
Symmetry: I4/mmm (139)


Record 3
A relaxed LaIn2Ni crystal. Source: the Alexandria database, functional PBE.

```
LaIn2Ni
1.0
3.5518 0.0000 0.0000
0.0000 2.2812 5.9322
0.0000 -2.2812 5.9322
La In Ni
1 2 1
direct
0.0000 0.0000 0.0000
0.0000 0.2896 0.2896
0.5000 0.6876 0.6876
0.5000 0.4636 0.4636
```

Results
Energy relative to the elements in meV/atom: -290
Total magnetic moment in μB per atom: 0.000
Crystal system: orthorhombic
Total energy in eV per atom: -4.3360
Symmetry: Amm2 (38)